Computed, not measured: a relaxed TbCuSn crystal at the PBE-GGA level of DFT.

Cell and atoms, written as POSCAR:
```
TbCuSn
1.0
-0.9390 -3.1657 -0.8197
1.5003 0.3407 -3.0345
4.5696 -0.5890 4.1005
Cu Tb Sn
1 1 1
direct
0.2892 0.2892 0.5784
0.6336 0.6336 0.2672
0.9272 0.9272 0.8544
```

Results
DOS(E_F)   1.64 states/eV per cell
Total energy   -13.586 eV/cell
Calculated formation energy   -285.4 meV/atom

Computed, not measured: a relaxed Tb2CuSn crystal at the PBE-GGA level of DFT.

Cell and atoms, written as POSCAR:
```
Tb2CuSn
1.0
-2.8446 3.2275 0.7582
-4.3255 -4.1278 1.3428
4.4327 2.3795 6.5017
Sn Tb Cu
2 4 2
direct
0.2500 0.8748 0.2115
0.7500 0.1252 0.7885
0.2500 0.7591 0.5580
0.7500 0.6921 0.9082
0.7500 0.2409 0.4420
0.2500 0.3079 0.0918
0.7500 0.6459 0.2897
0.2500 0.3541 0.7103
```

Results
DOS(E_F)   8.36 states/eV per cell
Total energy   -38.615 eV/cell
Calculated formation energy   -487.0 meV/atom

Computed, not measured: a relaxed Tb8Cu2Sn crystal at the PBE-GGA level of DFT.

Cell and atoms, written as POSCAR:
```
Tb8Cu2Sn
1.0
-0.3402 2.1325 4.9206
-3.6897 -7.0095 1.4646
8.0208 -0.5184 -0.5389
Tb Cu Sn
8 2 1
direct
0.5000 0.7575 0.2425
0.9131 0.6736 0.9211
0.5000 0.2425 0.7575
0.0869 0.3264 0.0789
0.0869 0.0789 0.3264
0.6955 0.3941 0.3941
0.3045 0.6059 0.6059
0.9131 0.9211 0.6736
0.0000 0.6915 0.3085
0.0000 0.3085 0.6915
0.5000 0.0000 0.0000
```

Results
DOS(E_F)   17.04 states/eV per cell
Total energy   -50.664 eV/cell
Calculated formation energy   -129.7 meV/atom

Computed, not measured: a relaxed TbCuSn3 crystal at the PBE-GGA level of DFT.

Cell and atoms, written as POSCAR:
```
TbCuSn3
1.0
6.1107 0.0000 0.0000
0.0000 6.2056 0.0000
0.0000 0.0000 12.4825
Sn Cu Tb
12 4 4
direct
0.2500 0.9840 0.2395
0.7500 0.3943 0.9454
0.0000 0.7500 0.5009
0.2500 0.4840 0.7605
0.2500 0.6057 0.0546
0.5000 0.7500 0.5009
0.7500 0.0160 0.7605
0.7500 0.8943 0.0546
0.2500 0.1057 0.9454
0.5000 0.2500 0.4991
0.7500 0.5160 0.2395
0.0000 0.2500 0.4991
0.5000 0.2500 0.1166
0.5000 0.7500 0.8834
0.0000 0.2500 0.1166
0.0000 0.7500 0.8834
0.2500 0.9948 0.6975
0.2500 0.4948 0.3025
0.7500 0.5052 0.6975
0.7500 0.0052 0.3025
```

Results
DOS(E_F)   12.25 states/eV per cell
Total energy   -89.815 eV/cell
Calculated formation energy   -343.8 meV/atom

- Which value of DOS(E_F) does entry 1 give?
  1.64 states/eV per cell